VASP calculation (PBE) on crystalline Pm7Er at its relaxed geometry.

Output
**Crystal system**: cubic
**Total DFT energy (no corrections)**: -4.72 eV/atom
**Total moment**: 0.0 μB/cell
**Calculated formation energy**: 10 meV/atom
**Mass density**: 7265 kg/m³
**Calculated volume**: 33.78 Å³/atom

a b c (Å): 10.263 10.263 10.263
angles (deg): 90.00 90.00 90.00
Space group Fm-3m (No. 225)
One atom of each set of equivalent atoms:
Pm1 0.000 0.000 0.000 x4
Pm2 0.000 0.250 0.250 x24
Er1 0.000 0.000 0.500 x4

VASP calculation (PBE) on crystalline Pm13Er3 at its relaxed geometry.

Output
**Crystal system**: orthorhombic
**Total DFT energy (no corrections)**: -4.70 eV/atom
**Total moment**: 0.0 μB/cell
**Polymorph energy (0 for the lowest one)**: 0.0 meV per atom
**Calculated formation energy**: 15 meV/atom
**Mass density**: 7374 kg/m³
**Calculated volume**: 33.59 Å³/atom

a b c (Å): 10.232 10.247 10.253
angles (deg): 90.00 90.00 90.00
Space group Amm2 (No. 38)
One atom of each set of equivalent atoms:
Pm1 0.000 0.000 0.000 x2
Pm2 0.000 0.000 0.497 x2
Pm3 0.000 0.248 0.249 x4
Pm4 0.251 0.000 0.749 x4
Pm5 0.251 0.249 0.998 x8
Pm6 0.500 0.000 0.497 x2
Pm7 0.500 0.248 0.248 x4
Er1 0.251 0.000 0.247 x4
Er2 0.500 0.000 0.000 x2

VASP calculation (PBE) on crystalline Pm7Er5 at its relaxed geometry.

Output
**Crystal system**: monoclinic
**Total DFT energy (no corrections)**: -4.66 eV/atom
**Total moment**: 0.0 μB/cell
**Polymorph energy (0 for the lowest one)**: 0.0 meV per atom
**Calculated formation energy**: 8 meV/atom
**Mass density**: 7831 kg/m³
**Calculated volume**: 32.71 Å³/atom

a b c (Å): 18.678 3.613 13.191
angles (deg): 90.00 118.11 90.00
Space group C2/m (No. 12)
One atom of each set of equivalent atoms:
Pm1 0.000 0.000 0.000 x2
Pm2 0.029 0.500 0.250 x4
Pm3 0.139 0.000 0.751 x4
Pm4 0.167 0.000 0.503 x4
Er1 0.000 0.500 0.500 x2
Er2 0.168 0.500 0.002 x4
Er3 0.194 0.000 0.248 x4

VASP calculation (PBE) on crystalline Pm2Er13 at its relaxed geometry.

Output
**Crystal system**: triclinic
**Total DFT energy (no corrections)**: -4.52 eV/atom
**Total moment**: 0.0 μB/cell
**Calculated formation energy**: 70 meV/atom
**Mass density**: 8813 kg/m³
**Calculated volume**: 30.96 Å³/atom

a b c (Å): 6.564 8.878 8.893
angles (deg): 65.51 81.66 81.38
Space group P-1 (No. 2)
One atom of each set of equivalent atoms:
Pm1 0.111 0.282 0.412 x2
Er1 0.000 0.500 0.000 x1
Er2 0.099 0.951 0.749 x2
Er3 0.204 0.705 0.196 x2
Er4 0.291 0.131 0.972 x2
Er5 0.301 0.465 0.634 x2
Er6 0.403 0.899 0.398 x2
Er7 0.480 0.669 0.841 x2